one | An optimized crystal structure of Re2SiSb. Source: Alexandria via LeMat-Bulk, functional PBE-GGA.

Results
Calculated density in kg/m³: 13500
Space group: R-3m (166)
Crystal system: trigonal

Structure (POSCAR):
```
Re2SiSb
1.0
-2.8637 -6.0586 -5.1286
-0.4619 -7.4298 -3.9742
-3.0634 -7.4593 -2.4867
Re Sb Si
2 1 1
Cartesian
-0.0454 -0.1488 -0.0823
-3.1492 -10.3252 -5.7125
-1.5973 -5.2370 -2.8974
-4.7918 -15.7109 -8.6922
```


two | An optimized crystal structure of Re2SiSb. Source: Alexandria via LeMat-Bulk, functional PBE-GGA.

Results
Calculated density in kg/m³: 13369
Space group: C2/m (12)
Crystal system: monoclinic

Structure (POSCAR):
```
Re2SiSb
1.0
4.5305 -0.0061 0.0069
3.4972 2.8801 0.0069
1.2024 0.4305 4.9654
Re Sb Si
2 1 1
Cartesian
7.8597 2.8139 0.2006
4.7832 1.7124 2.3029
6.9226 2.4784 3.7344
2.3075 0.8261 1.2448
```


three | An optimized crystal structure of Re2SiSb. Source: Alexandria via LeMat-Bulk, functional PBE-GGA.

Results
Calculated density in kg/m³: 13186
Space group: F-43m (216)
Crystal system: cubic

Structure (POSCAR):
```
Re2SiSb
1.0
-4.3136 0.7825 1.1442
-3.1359 -3.2027 -0.6612
-1.8283 -2.1469 3.5464
Re Sb Si
2 1 1
Cartesian
0.0000 0.0000 0.0000
-2.3194 -1.1418 1.0073
-4.6389 -2.2836 2.0147
-6.9583 -3.4253 3.0220
```


So which one wins? Going from most stable to least: two, one, three.


one | An optimized crystal structure of Re2SiSb. Source: Alexandria via LeMat-Bulk, functional PBE-GGA.

Results
Calculated density in kg/m³: 13320
Space group: P4mm (99)
Crystal system: tetragonal

Structure (POSCAR):
```
Re2SiSb
1.0
3.2718 0.0000 0.0000
0.0000 3.2718 0.0000
0.0000 0.0000 6.0820
Re Sb Si
2 1 1
Cartesian
0.0000 0.0000 5.7448
1.6359 1.6359 1.5866
0.0000 0.0000 2.9750
1.6359 1.6359 4.8987
```


two | An optimized crystal structure of Re2SiSb. Source: Alexandria via LeMat-Bulk, functional PBE-GGA.

Results
Calculated density in kg/m³: 13097
Space group: Pmmm (47)
Crystal system: orthorhombic

Structure (POSCAR):
```
Re2SiSb
1.0
-2.7720 0.2623 1.4108
-0.1340 -5.0399 0.6738
1.9142 0.4410 3.6790
Re Sb Si
2 1 1
Cartesian
0.0000 0.0000 0.0000
-1.4530 -2.3888 1.0423
-0.4289 0.3516 2.5449
0.8901 -2.2995 2.1764
```


three | An optimized crystal structure of Re2SiSb. Source: Alexandria via LeMat-Bulk, functional PBE-GGA.

Results
Calculated density in kg/m³: 12926
Space group: R3m (160)
Crystal system: trigonal

Structure (POSCAR):
```
Re2SiSb
1.0
-7.0662 4.3558 -0.2116
-7.6421 2.2201 -2.3704
-8.1301 1.5733 0.6124
Re Sb Si
2 1 1
Cartesian
-0.1094 0.0390 -0.0094
-5.7819 2.0631 -0.4987
-11.4316 4.0790 -0.9859
-16.9345 6.0426 -1.4605
```


So which one wins? Going from most stable to least: one, three, two.


one | An optimized crystal structure of Re2SiSb. Source: Alexandria via LeMat-Bulk, functional PBE-GGA.

Results
Calculated density in kg/m³: 13042
Space group: C2/m (12)
Crystal system: monoclinic

Structure (POSCAR):
```
Re2SiSb
1.0
5.2750 0.0028 0.0076
-2.5784 4.4331 -0.0010
0.1183 1.0294 2.8436
Re Sb Si
2 1 1
Cartesian
0.0000 0.0000 0.0000
2.6966 0.5161 1.4256
-1.2300 2.7312 1.4213
1.3483 2.2179 0.0033
```


two | An optimized crystal structure of Re2SiSb. Source: Alexandria via LeMat-Bulk, functional PBE-GGA.

Results
Calculated density in kg/m³: 13214
Space group: Cm (8)
Crystal system: monoclinic

Structure (POSCAR):
```
Re2SiSb
1.0
4.7207 -0.0046 0.0104
3.6640 2.9765 0.0104
1.4275 0.5060 4.6686
Re Sb Si
2 1 1
Cartesian
8.4353 2.9898 0.4478
7.2883 2.5833 3.4734
4.9831 1.7662 2.5168
2.3962 0.8493 0.6171
```


three | An optimized crystal structure of Re2SiSb. Source: Alexandria via LeMat-Bulk, functional PBE-GGA.

Results
Calculated density in kg/m³: 12416
Space group: P4mm (99)
Crystal system: tetragonal

Structure (POSCAR):
```
Re2SiSb
1.0
2.9666 0.0007 0.0000
-0.0007 2.9666 0.0000
0.0000 0.0000 7.9362
Re Sb Si
2 1 1
Cartesian
0.0000 0.0000 0.0448
1.4830 1.4837 1.6940
0.0000 0.0000 3.7450
1.4830 1.4837 6.4206
```


So which one wins? Going from most stable to least: three, two, one.


one | An optimized crystal structure of Re2SiSb. Source: Alexandria via LeMat-Bulk, functional PBE-GGA.

Results
Calculated density in kg/m³: 13985
Space group: Fm-3m (225)
Crystal system: cubic

Structure (POSCAR):
```
Re2SiSb
1.0
0.0000 3.1416 3.1416
3.1416 0.0000 3.1416
3.1416 3.1416 0.0000
Re Si Sb
2 1 1
Cartesian
1.5708 1.5708 1.5708
4.7123 4.7123 4.7123
0.0000 0.0000 0.0000
3.1416 3.1416 3.1416
```


two | An optimized crystal structure of Re2SiSb. Source: Alexandria via LeMat-Bulk, functional PBE-GGA.

Results
Calculated density in kg/m³: 13292
Space group: P2/m (10)
Crystal system: monoclinic

Structure (POSCAR):
```
Re2SiSb
1.0
-1.8610 -0.3746 -3.2851
-2.6465 -0.2483 1.5275
-2.2284 5.4169 0.6447
Re Sb Si
2 1 1
Cartesian
-4.5253 5.0079 1.9925
-2.7870 2.7451 1.2658
-2.1492 1.1049 -1.0995
-4.5867 3.6892 -0.0134
```


So which one wins? Going from most stable to least: one, two.


one | An optimized crystal structure of Re2SiSb. Source: Alexandria via LeMat-Bulk, functional PBE-GGA.

Results
Calculated density in kg/m³: 13380
Space group: I-4m2 (119)
Crystal system: tetragonal

Structure (POSCAR):
```
Re2SiSb
1.0
-0.7948 3.1334 3.5903
-4.7958 0.4142 0.4106
2.7694 -3.9574 -0.1005
Re Sb Si
2 1 1
Cartesian
0.0000 0.0000 0.0000
-2.4109 -0.8847 1.1553
-2.7953 1.7738 2.0004
-0.4104 0.4749 2.7451
```


two | An optimized crystal structure of Re2SiSb. Source: Alexandria via LeMat-Bulk, functional PBE-GGA.

Results
Calculated density in kg/m³: 13254
Space group: Imm2 (44)
Crystal system: orthorhombic

Structure (POSCAR):
```
Re2SiSb
1.0
5.7896 0.0110 -0.0045
3.5367 4.5839 0.0045
-4.3814 -2.8692 2.4679
Re Sb Si
2 1 1
Cartesian
0.3581 0.1764 0.0000
3.2914 -0.1544 1.2317
4.3173 2.1270 0.0000
1.6412 1.8740 1.2362
```


So which one wins? Going from most stable to least: two, one.


one | An optimized crystal structure of Re2SiSb. Source: Alexandria via LeMat-Bulk, functional PBE-GGA.

Results
Calculated density in kg/m³: 11643
Space group: I-42d (122)
Crystal system: tetragonal

Structure (POSCAR):
```
Re2SiSb
1.0
-0.7916 -0.1917 -4.0612
-3.7454 -1.5753 0.8044
-5.5845 7.1369 -1.3607
Re Si Sb
4 2 2
Cartesian
-2.2990 1.4820 -2.4701
-3.8959 0.7611 -0.6529
-6.1736 4.5706 -2.1809
-7.8743 3.9259 -3.9312
-2.2685 -0.8835 -1.6284
-5.7992 2.3390 -1.0924
0.0000 0.0000 0.0000
-4.3223 3.0308 -3.5252
```


two | An optimized crystal structure of Re2SiSb. Source: Alexandria via LeMat-Bulk, functional PBE-GGA.

Results
Calculated density in kg/m³: 13226
Space group: Immm (71)
Crystal system: orthorhombic

Structure (POSCAR):
```
Re2SiSb
1.0
-0.8619 -0.4281 -5.0877
-4.0624 -3.0666 -0.9507
1.5836 4.4161 2.1911
Re Sb Si
2 1 1
Cartesian
-0.1482 -0.1052 -0.1818
-2.3139 -1.6421 -2.8375
-0.8702 1.1203 -2.9579
-2.4705 -0.1989 -0.8894
```


So which one wins? Going from most stable to least: two, one.